First-principles (GGA-PBE) data for a geometry-optimized Zn17In2 structure, as listed in the Alexandria database. Values from VASP.

## Properties
energy relative to the elements = 6 kJ/mol of atoms
space group = No. 166
density = 6.92 g/cm3
DOS at the Fermi energy = 6.296 states/eV/f.u.
total energy = -1.37 eV/atom
crystal system = trigonal

Quantum ESPRESSO input file:
```
&SYSTEM
  ibrav = 0, nat = 19, ntyp = 2
/
ATOMIC_SPECIES
Zn 65.41 Zn.upf
In 114.82 In.upf
ATOMIC_POSITIONS angstrom
Zn -5.7104 1.2472 2.9885
Zn -2.5104 -0.0926 6.0651
Zn -6.6326 3.3475 8.3566
Zn -0.8242 0.4160 1.0384
Zn 0.9463 1.1832 3.0806
Zn -2.3703 -1.8457 1.6616
Zn -2.3045 2.5442 -0.0448
Zn -4.7027 -1.1701 2.3432
Zn -2.7419 4.3068 1.7055
Zn -0.0122 0.6268 5.3462
Zn -4.6467 2.5671 0.8905
Zn 0.0256 3.1482 4.3662
Zn -2.8357 -1.9518 4.1382
Zn -4.9464 3.8561 3.3299
Zn -1.7464 2.5163 6.4065
Zn -5.0112 -0.4654 5.0096
Zn -2.4456 4.2289 4.3853
In -2.6322 1.3285 3.3164
In -4.8246 2.4350 6.0786
CELL_PARAMETERS angstrom
-4.6089 5.0885 -0.0895
-4.7405 -3.6915 3.3232
1.8926 2.3665 6.1612
```